DFT (GGA+U) results for crystalline NaCr4Ge3O12 at its relaxed geometry.

a b c (Å): 7.510 7.510 7.510
angles (deg): 90.00 90.00 90.00
Space group Im-3 (No. 204)
Symmetry-distinct sites (fractional):
Na: 0.000 0.000 0.000 (multiplicity 2)
Cr: 0.250 0.250 0.250 (multiplicity 8)
Ge: 0.000 0.000 0.500 (multiplicity 6)
O: 0.000 0.323 0.175 (multiplicity 24)

E (eV per atom): -6.849
DOS(E_F) (states/eV per cell): 6.3
Spin magnetization (μB per formula unit): 12.98

***

DFT (GGA+U) results for crystalline NaCrGeO4 at its relaxed geometry.

a b c (Å): 5.754 6.262 8.485
angles (deg): 90.00 90.00 90.00
Space group Imma (No. 74)
Symmetry-distinct sites (fractional):
Na: 0.250 0.250 0.250 (multiplicity 4)
Cr: 0.000 0.000 0.000 (multiplicity 4)
Ge: 0.000 0.250 0.645 (multiplicity 4)
O: 0.000 0.018 0.762 (multiplicity 8)
O: 0.243 0.250 0.987 (multiplicity 8)

E (eV per atom): -6.481
Spin magnetization (μB per formula unit): 3.00

***

DFT (GGA+U) results for crystalline Na2CrGeO4 at its relaxed geometry.

a b c (Å): 5.723 5.723 6.476
angles (deg): 90.00 90.00 90.00
Space group I-4 (No. 82)
Symmetry-distinct sites (fractional):
Na: 0.000 0.000 0.000 (multiplicity 2)
Na: 0.000 0.500 0.250 (multiplicity 2)
Cr: 0.000 0.500 0.750 (multiplicity 2)
Ge: 0.000 0.000 0.500 (multiplicity 2)
O: 0.162 0.197 0.660 (multiplicity 8)

E (eV per atom): -6.026
DOS(E_F) (states/eV per cell): 0.0
Spin magnetization (μB per formula unit): 4.00